(1)
DFT (PBE) results for crystalline Nd4Sb2SN2 at its relaxed geometry.

```
Nd4Sb2SN2
1.0
-2.329 -1.520 3.161
6.160 1.236 5.134
-3.495 6.748 -2.134
Nd N Sb S
4 2 2 1
Direct
0.783 0.856 0.565
0.217 0.144 0.435
0.475 0.218 0.950
0.525 0.782 0.050
0.325 0.007 0.650
0.675 0.993 0.350
0.105 0.543 0.209
0.895 0.457 0.791
0.000 0.000 0.000
```

Output
* raw total energy: -6.658 eV/atom
* DOS(E_F): 0.11 states/eV/atom
* ΔE_f (raw): -1314 meV per atom
* SG: C2/m, No. 12
* total magnetic moment: 0.000 μB per cell

(2)
DFT (PBE) results for crystalline Nd6SeS3N2 at its relaxed geometry.

```
Nd6SeS3N2
1.0
3.910 0.000 0.000
0.000 8.075 0.270
-1.955 -2.339 8.347
Se Nd N S
1 6 2 3
Direct
0.500 0.000 0.000
0.325 0.874 0.650
0.322 0.434 0.644
0.979 0.726 0.958
0.021 0.274 0.042
0.678 0.566 0.356
0.675 0.126 0.350
0.170 0.334 0.340
0.830 0.666 0.660
0.840 0.166 0.679
0.160 0.834 0.321
0.500 0.500 0.000
```

Output
* raw total energy: -6.850 eV/atom
* DOS(E_F): 0.18 states/eV/atom
* ΔE_f (raw): -1756 meV per atom
* SG: C2/m, No. 12
* total magnetic moment: 0.000 μB per cell

(3)
DFT (PBE) results for crystalline Nd6Se3S2N at its relaxed geometry.

```
Nd6Se3S2N
1.0
-5.800 3.952 0.151
0.320 -5.594 -4.229
-0.702 -3.352 6.325
S Nd N Se
2 6 1 3
Direct
0.334 0.666 0.000
0.666 0.334 0.000
0.236 0.236 0.782
0.620 0.928 0.786
0.764 0.764 0.218
0.928 0.620 0.786
0.072 0.380 0.214
0.380 0.072 0.214
0.000 0.000 0.000
0.172 0.828 0.500
0.500 0.500 0.500
0.828 0.172 0.500
```

Output
* raw total energy: -6.456 eV/atom
* DOS(E_F): 0.39 states/eV/atom
* ΔE_f (raw): -1819 meV per atom
* SG: C2/m, No. 12
* total magnetic moment: 0.000 μB per cell

(4)
DFT (PBE) results for crystalline Nd6SeS2N3 at its relaxed geometry.

```
Nd6SeS2N3
1.0
3.809 0.000 0.000
0.000 7.944 0.041
-1.905 -2.546 8.230
Nd S N Se
6 2 3 1
Direct
0.990 0.277 0.980
0.010 0.723 0.020
0.322 0.937 0.645
0.659 0.603 0.318
0.341 0.397 0.682
0.678 0.063 0.355
0.834 0.668 0.667
0.166 0.332 0.333
0.833 0.169 0.666
0.500 0.500 0.000
0.167 0.831 0.334
0.500 0.000 0.000
```

Output
* raw total energy: -7.120 eV/atom
* DOS(E_F): 0.30 states/eV/atom
* ΔE_f (raw): -1676 meV per atom
* SG: C2/m, No. 12
* total magnetic moment: 0.000 μB per cell

(5)
DFT (PBE) results for crystalline Nd4Se2SN2 at its relaxed geometry.

```
Nd4Se2SN2
1.0
-0.007 3.050 -2.625
-6.104 -2.533 -2.928
-1.984 3.333 6.963
Nd Se N S
4 2 2 1
Direct
0.211 0.169 0.422
0.458 0.239 0.916
0.789 0.831 0.578
0.542 0.761 0.084
0.873 0.463 0.745
0.127 0.537 0.255
0.674 0.988 0.348
0.326 0.012 0.652
0.000 0.000 0.000
```

Output
* raw total energy: -6.921 eV/atom
* ΔE_f (raw): -1719 meV per atom
* SG: C2/m, No. 12
* total magnetic moment: 0.000 μB per cell

(6)
DFT (PBE) results for crystalline NdSmSN at its relaxed geometry.

```
NdSmSN
1.0
-2.271 -1.531 2.567
-2.191 -2.904 -0.926
3.249 -5.604 2.277
N Nd S Sm
1 1 1 1
Direct
0.248 0.248 0.256
0.987 0.987 0.039
0.752 0.752 0.745
0.513 0.513 0.460
```

Output
* raw total energy: -7.234 eV/atom
* DOS(E_F): 0.28 states/eV/atom
* ΔE_f (raw): -1749 meV per atom
* SG: R3m, No. 160
* total magnetic moment: 0.000 μB per cell

(7)
DFT (PBE) results for crystalline NdThSN at its relaxed geometry.

```
NdThSN
1.0
3.713 -0.013 0.521
-1.881 3.243 -0.001
-0.932 -0.539 6.632
N S Th Nd
1 1 1 1
Direct
0.220 0.508 0.378
0.219 0.508 0.867
0.553 0.175 0.572
0.886 0.841 0.152
```

Output
* raw total energy: -7.815 eV/atom
* DOS(E_F): 0.27 states/eV/atom
* ΔE_f (raw): -1654 meV per atom
* SG: P3m1, No. 156
* total magnetic moment: 0.000 μB per cell

(8)
DFT (PBE) results for crystalline Nd2US2N2 at its relaxed geometry.

```
Nd2US2N2
1.0
-2.577 2.035 2.760
-3.372 -0.876 -2.503
1.881 -7.021 3.600
N S Nd U
2 2 2 1
Direct
0.000 0.500 0.000
0.500 0.000 0.000
0.180 0.180 0.360
0.820 0.820 0.640
0.370 0.370 0.740
0.630 0.630 0.260
0.000 0.000 0.000
```

Output
* raw total energy: -8.106 eV/atom
* DOS(E_F): 0.64 states/eV/atom
* ΔE_f (raw): -1574 meV per atom
* SG: I4/mmm, No. 139
* total magnetic moment: 1.763 μB per cell

(9)
DFT (PBE) results for crystalline Nd2ZrS2N2 at its relaxed geometry.

```
Nd2ZrS2N2
1.0
4.260 0.000 0.000
0.000 4.260 0.000
-2.130 -2.130 7.251
N Nd S Zr
2 2 2 1
Direct
0.500 0.000 0.000
0.000 0.500 0.000
0.618 0.618 0.237
0.382 0.382 0.763
0.819 0.819 0.639
0.181 0.181 0.361
0.000 0.000 0.000
```

Output
* raw total energy: -7.841 eV/atom
* DOS(E_F): 0.01 states/eV/atom
* ΔE_f (raw): -1700 meV per atom
* SG: I4/mmm, No. 139
* total magnetic moment: 0.000 μB per cell

(10)
DFT (PBE) results for crystalline Nd4Sb2N at its relaxed geometry.

```
Nd4Sb2N
1.0
4.081 0.000 0.000
0.000 8.286 -1.140
-2.040 -4.886 6.293
Sb Nd N
2 4 1
Direct
0.656 0.637 0.313
0.344 0.363 0.687
0.943 0.212 0.886
0.646 0.233 0.292
0.057 0.788 0.114
0.354 0.767 0.708
0.000 0.000 0.000
```

Output
* raw total energy: -6.081 eV/atom
* DOS(E_F): 0.76 states/eV/atom
* offset from the most stable computed form: 0.048 eV/atom
* ΔE_f (raw): -990 meV per atom
* SG: C2/m, No. 12
* total magnetic moment: 0.000 μB per cell

(11)
DFT (PBE) results for crystalline Nd5Sb2N2 at its relaxed geometry.

```
Nd5Sb2N2
1.0
-3.943 -1.671 2.891
-1.410 -0.764 -6.982
3.849 -5.952 1.810
Nd N Sb
5 2 2
Direct
0.000 0.000 0.000
0.155 0.310 0.575
0.664 0.329 0.920
0.845 0.690 0.425
0.336 0.671 0.080
0.162 0.324 0.890
0.838 0.676 0.110
0.408 0.817 0.693
0.592 0.183 0.307
```

Output
* raw total energy: -6.416 eV/atom
* DOS(E_F): 0.55 states/eV/atom
* ΔE_f (raw): -1001 meV per atom
* SG: C2/m, No. 12
* total magnetic moment: 0.000 μB per cell

(12)
DFT (PBE) results for crystalline Nd3Sb2N at its relaxed geometry.

```
Nd3Sb2N
1.0
-1.513 -6.211 -0.897
2.539 -1.695 7.453
-5.715 4.540 1.432
Nd Sb N
6 4 2
Direct
0.062 0.148 0.272
0.401 0.250 0.000
0.599 0.750 0.000
0.938 0.852 0.728
0.790 0.352 0.728
0.210 0.648 0.272
0.261 0.460 0.656
0.394 0.960 0.656
0.606 0.040 0.344
0.739 0.540 0.344
0.050 0.250 0.000
0.950 0.750 0.000
```

Output
* raw total energy: -6.205 eV/atom
* DOS(E_F): 0.15 states/eV/atom
* ΔE_f (raw): -1059 meV per atom
* SG: C2/c, No. 15
* total magnetic moment: 0.000 μB per cell

(13)
DFT (PBE) results for crystalline Nd6SbN3 at its relaxed geometry.

```
Nd6SbN3
1.0
3.602 0.000 0.000
0.000 11.808 -0.175
0.000 -4.128 11.760
Nd N Sb
12 6 2
Direct
0.250 0.079 0.932
0.250 0.832 0.493
0.750 0.796 0.781
0.750 0.460 0.656
0.250 0.204 0.219
0.750 0.921 0.068
0.750 0.712 0.213
0.250 0.288 0.787
0.250 0.540 0.344
0.750 0.168 0.507
0.750 0.402 0.064
0.250 0.598 0.936
0.250 0.558 0.138
0.750 0.442 0.862
0.250 0.307 0.603
0.750 0.141 0.081
0.250 0.859 0.919
0.750 0.693 0.397
0.750 0.030 0.694
0.250 0.970 0.306
```

Output
* raw total energy: -6.698 eV/atom
* DOS(E_F): 0.69 states/eV/atom
* ΔE_f (raw): -927 meV per atom
* SG: P2_1/m, No. 11
* total magnetic moment: 1.225 μB per cell

(14)
DFT (PBE) results for crystalline Nd12Sb6N at its relaxed geometry.

```
Nd12Sb6N
1.0
-8.045 -0.376 3.225
-0.906 -5.475 -6.669
4.006 -5.271 5.607
Nd N Sb
12 1 6
Direct
0.576 0.448 0.809
0.703 0.937 0.008
0.552 0.191 0.424
0.448 0.809 0.576
0.063 0.992 0.297
0.992 0.297 0.063
0.937 0.008 0.703
0.008 0.703 0.937
0.191 0.424 0.552
0.424 0.552 0.191
0.297 0.063 0.992
0.809 0.576 0.448
0.000 0.000 0.000
0.358 0.704 0.881
0.642 0.296 0.119
0.881 0.358 0.704
0.704 0.881 0.358
0.119 0.642 0.296
0.296 0.119 0.642
```

Output
* raw total energy: -5.527 eV/atom
* DOS(E_F): 0.81 states/eV/atom
* ΔE_f (raw): -776 meV per atom
* SG: R-3, No. 148
* total magnetic moment: 0.003 μB per cell

(15)
DFT (PBE) results for crystalline Nd4Sb3N at its relaxed geometry.

```
Nd4Sb3N
1.0
6.376 0.000 0.000
0.000 8.788 0.000
0.000 0.000 9.981
Sb Nd N
6 8 2
Direct
0.560 0.337 0.269
0.060 0.158 0.500
0.060 0.663 0.231
0.060 0.663 0.769
0.560 0.842 0.000
0.560 0.337 0.731
0.130 0.818 0.500
0.071 0.307 0.211
0.571 0.693 0.289
0.630 0.182 0.000
0.070 0.904 0.000
0.071 0.307 0.789
0.570 0.096 0.500
0.571 0.693 0.711
0.495 0.821 0.500
0.995 0.179 0.000
```

Output
* raw total energy: -5.915 eV/atom
* DOS(E_F): 0.03 states/eV/atom
* ΔE_f (raw): -944 meV per atom
* SG: Pmn2_1, No. 31
* total magnetic moment: 0.000 μB per cell

(16)
DFT (PBE) results for crystalline NdSbN2 at its relaxed geometry.

```
NdSbN2
1.0
-1.419 1.476 3.100
-3.145 -1.360 1.434
1.952 -4.191 5.116
N Sb Nd
2 1 1
Direct
0.103 0.103 0.690
0.897 0.897 0.310
0.000 0.000 0.000
0.500 0.500 0.500
```

Output
* raw total energy: -6.569 eV/atom
* DOS(E_F): 0.23 states/eV/atom
* ΔE_f (raw): -183 meV per atom
* SG: R-3m, No. 166
* total magnetic moment: 0.000 μB per cell

(17)
DFT (PBE) results for crystalline Nd12Sb3N5 at its relaxed geometry.

```
Nd12Sb3N5
1.0
14.038 0.000 0.000
-4.679 13.235 0.000
-4.679 -6.618 11.462
Nd N Sb
48 20 12
Direct
0.685 0.198 0.588
0.302 0.890 0.987
0.890 0.302 0.487
0.088 0.185 0.198
0.013 0.403 0.815
0.698 0.588 0.185
0.903 0.088 0.890
0.302 0.412 0.815
0.412 0.110 0.597
0.987 0.390 0.302
0.610 0.013 0.198
0.013 0.610 0.698
0.815 0.912 0.302
0.890 0.588 0.903
0.097 0.912 0.110
0.110 0.412 0.097
0.403 0.390 0.588
0.685 0.487 0.597
0.588 0.890 0.403
0.487 0.685 0.097
0.198 0.513 0.610
0.315 0.513 0.403
0.802 0.487 0.390
0.185 0.088 0.698
0.513 0.315 0.903
0.802 0.315 0.912
0.588 0.698 0.685
0.088 0.903 0.390
0.513 0.198 0.110
0.903 0.815 0.513
0.912 0.815 0.802
0.912 0.097 0.610
0.487 0.802 0.890
0.198 0.685 0.088
0.597 0.987 0.685
0.597 0.610 0.412
0.412 0.302 0.315
0.315 0.802 0.412
0.610 0.597 0.912
0.110 0.698 0.513
0.698 0.110 0.013
0.390 0.987 0.802
0.097 0.185 0.487
0.185 0.097 0.987
0.815 0.903 0.013
0.403 0.013 0.315
0.987 0.597 0.185
0.390 0.403 0.088
0.875 0.250 0.625
0.000 0.500 0.500
0.000 0.000 0.000
0.625 0.875 0.250
0.125 0.750 0.375
0.375 0.250 0.125
0.500 0.500 0.500
0.875 0.625 0.750
0.500 0.000 0.000
0.500 0.500 0.000
0.125 0.375 0.250
0.500 0.000 0.500
0.625 0.750 0.875
0.000 0.500 0.000
0.375 0.125 0.750
0.750 0.625 0.375
0.250 0.875 0.125
0.250 0.375 0.625
0.750 0.125 0.875
0.000 0.000 0.500
0.750 0.875 0.625
0.625 0.250 0.375
0.125 0.250 0.875
0.875 0.125 0.250
0.125 0.875 0.750
0.250 0.125 0.375
0.375 0.625 0.250
0.875 0.750 0.125
0.250 0.625 0.875
0.375 0.750 0.625
0.750 0.375 0.125
0.625 0.375 0.750
```

Output
* raw total energy: -6.498 eV/atom
* DOS(E_F): 0.82 states/eV/atom
* ΔE_f (raw): -937 meV per atom
* SG: Ia-3d, No. 230
* total magnetic moment: 6.969 μB per cell

(18)
DFT (PBE) results for crystalline Nd5Sb4N at its relaxed geometry.

```
Nd5Sb4N
1.0
6.365 0.000 0.000
3.182 6.857 0.000
3.182 0.000 6.857
Nd Sb N
5 4 1
Direct
0.906 0.360 0.830
0.096 0.640 0.170
0.266 0.830 0.640
0.736 0.170 0.360
0.426 0.000 0.000
0.416 0.394 0.782
0.592 0.606 0.218
0.198 0.218 0.394
0.811 0.782 0.606
0.064 0.000 0.000
```

Output
* raw total energy: -5.930 eV/atom
* DOS(E_F): 0.18 states/eV/atom
* ΔE_f (raw): -1065 meV per atom
* SG: I4, No. 79
* total magnetic moment: 0.000 μB per cell

(19)
DFT (PBE) results for crystalline Nd4Sb2N at its relaxed geometry.

```
Nd4Sb2N
1.0
-1.113 -2.880 3.717
-0.004 -3.819 -2.961
8.693 2.165 1.139
Sb N Nd
2 1 4
Direct
0.358 0.358 0.716
0.642 0.642 0.284
0.000 0.000 0.000
0.165 0.165 0.330
0.000 0.500 0.000
0.835 0.835 0.670
0.500 0.000 0.000
```

Output
* raw total energy: -6.129 eV/atom
* DOS(E_F): 1.07 states/eV/atom
* offset from the most stable computed form: 0.000 eV/atom
* ΔE_f (raw): -1037 meV per atom
* SG: I4/mmm, No. 139
* total magnetic moment: 0.003 μB per cell